Record 1
A plane-wave DFT calculation with GGA-PBEsol was carried out for a relaxed YTiF2 crystal.

Properties
- E_form (uncorrected): -7.48 eV/f.u.
- Symmetry: No. 122
- Calculated total energy: -6.620 eV/atom
- Calculated density: 4.5 Mg/m³
- M_tot: 1.000 μB per formula unit

a b c (Å): 7.0212 7.0212 7.0212
angles (deg): 142.26 142.26 54.44
Closest atoms and distances in Å follow each position.
Atoms (fractional coordinates):
1 Y 0.0000 0.0000 0.0000  4 F 2.57
2 Y 0.7500 0.2500 0.5000  4 F 2.57
3 Ti 0.2500 0.7500 0.5000  4 F 2.01
4 Ti 0.5000 0.5000 0.0000  4 F 2.01
5 F 0.2477 0.6250 0.1227  2 Ti 2.01
6 F 0.3750 0.4977 0.6227  2 Ti 2.01
7 F 0.5023 0.1250 0.8773  2 Ti 2.01
8 F 0.8750 0.7523 0.3773  2 Ti 2.01

Record 2
A plane-wave DFT calculation with GGA-PBEsol was carried out for a relaxed TiZnF5 crystal.

Properties
- E_form (uncorrected): -19.76 eV/f.u.
- Symmetry: No. 14
- Calculated total energy: -5.614 eV/atom
- Calculated density: 3.7 Mg/m³
- M_tot: 1.000 μB per formula unit

a b c (Å): 5.2597 9.8070 7.6851
angles (deg): 90.00 107.67 90.00
Closest atoms and distances in Å follow each position.
Atoms (fractional coordinates):
1 Ti 0.0734 0.2420 0.3680  6 F 1.94-2.02
2 Ti 0.0734 0.2580 0.8680  6 F 1.94-2.02
3 Ti 0.9266 0.7420 0.1320  6 F 1.94-2.02
4 Ti 0.9266 0.7580 0.6320  6 F 1.94-2.02
5 Zn 0.4812 0.0126 0.2075  4 F 1.91-2.03
6 Zn 0.4812 0.4874 0.7075  4 F 1.91-2.03
7 Zn 0.5188 0.5126 0.2925  4 F 1.91-2.03
8 Zn 0.5188 0.9874 0.7925  4 F 1.91-2.03
9 F 0.0860 0.2191 0.6222  2 Ti 1.95
10 F 0.0860 0.2809 0.1222  2 Ti 1.95
11 F 0.1671 0.5884 0.2092  1 Zn 1.91, 1 Ti 1.94
12 F 0.1671 0.9116 0.7092  1 Zn 1.91, 1 Ti 1.94
13 F 0.2270 0.6327 0.6723  1 Zn 1.92, 1 Ti 1.95
14 F 0.2270 0.8673 0.1723  1 Zn 1.92, 1 Ti 1.95
15 F 0.3414 0.1070 0.9619  1 Ti 2.02, 2 Zn 2.03-2.16
16 F 0.3414 0.3930 0.4619  1 Ti 2.02, 2 Zn 2.03-2.16
17 F 0.3663 0.1147 0.3915  1 Ti 1.95, 1 Zn 1.97
18 F 0.3663 0.3853 0.8915  1 Ti 1.95, 1 Zn 1.97
19 F 0.6337 0.6147 0.1085  1 Ti 1.95, 1 Zn 1.97
20 F 0.6337 0.8853 0.6085  1 Ti 1.95, 1 Zn 1.97
21 F 0.6586 0.6070 0.5381  1 Ti 2.02, 2 Zn 2.03-2.16
22 F 0.6586 0.8930 0.0381  1 Ti 2.02, 2 Zn 2.03-2.16
23 F 0.7730 0.1327 0.8277  1 Zn 1.92, 1 Ti 1.95
24 F 0.7730 0.3673 0.3277  1 Zn 1.92, 1 Ti 1.95
25 F 0.8329 0.0884 0.2908  1 Zn 1.91, 1 Ti 1.94
26 F 0.8329 0.4116 0.7908  1 Zn 1.91, 1 Ti 1.94
27 F 0.9140 0.7191 0.8778  2 Ti 1.95
28 F 0.9140 0.7809 0.3778  2 Ti 1.95